Density functional theory data (PBEsol) for a relaxed structure of MgInP2.

a b c (Å): 4.948 4.948 2.970
angles (deg): 90.00 90.00 90.00
Space group P4/mmm (No. 123)
Inequivalent atoms, fractional coordinates:
Mg 0.000 0.000 0.000 x1
In 0.500 0.500 0.000 x1
P 0.000 0.500 0.500 x2

Values from the calculation:
Its total energy is -3.99 eV/atom. For the formation energy, the calculation gives 0.08 eV/atom.



Density functional theory data (PBEsol) for a relaxed structure of MgInP2.

a b c (Å): 6.635 6.635 6.635
angles (deg): 90.00 90.00 90.00
Space group Fm-3m (No. 225)
Inequivalent atoms, fractional coordinates:
Mg 0.000 0.000 0.000 x4
In 0.000 0.000 0.500 x4
P 0.250 0.250 0.250 x8

Values from the calculation:
Its total energy is -3.93 eV/atom. For the formation energy, the calculation gives 0.14 eV/atom.



Density functional theory data (PBEsol) for a relaxed structure of MgIn2Pb.

a b c (Å): 4.501 4.501 9.998
angles (deg): 90.00 90.00 90.00
Space group I4/mmm (No. 139)
Inequivalent atoms, fractional coordinates:
Mg 0.000 0.000 0.000 x2
In 0.000 0.500 0.250 x4
Pb 0.000 0.000 0.500 x2

Values from the calculation:
Its total energy is -2.96 eV/atom. For the formation energy, the calculation gives -0.04 eV/atom.



Please write out number 3 again, unchanged.
Density functional theory data (PBEsol) for a relaxed structure of MgIn2Pb.

a b c (Å): 4.501 4.501 9.998
angles (deg): 90.00 90.00 90.00
Space group I4/mmm (No. 139)
Inequivalent atoms, fractional coordinates:
Mg 0.000 0.000 0.000 x2
In 0.000 0.500 0.250 x4
Pb 0.000 0.000 0.500 x2

Values from the calculation:
Its total energy is -2.96 eV/atom. For the formation energy, the calculation gives -0.04 eV/atom.